[1]
VASP calculation (GGA-PBE) on a relaxed SbSe crystal.

Results
Electronic total energy   -3.7514 eV per atom
Density of states at the Fermi level   0.21 states/eV/atom
Magnetization   0.0 μB/f.u.
Formation energy (no corrections)   52 meV per atom

```
data_SbSe
_cell_length_a 11.8697
_cell_length_b 11.8697
_cell_length_c 3.6661
_cell_angle_alpha 90.00
_cell_angle_beta 90.00
_cell_angle_gamma 120.00
_symmetry_space_group_name_H-M 'P 63/m'
_symmetry_Int_Tables_number 176
_symmetry_space_group_name_Hall '-P 6c'
loop_
_atom_site_label
_atom_site_fract_x
_atom_site_fract_y
_atom_site_fract_z
Sb1 0.0033 0.6634 0.2500
Se1 0.1448 0.5072 0.2500
```

=====

[2]
VASP calculation (GGA-PBE) on a relaxed Na2LiSn4 crystal.

Results
Electronic total energy   -3.0087 eV per atom
Density of states at the Fermi level   0.36 states/eV/atom
Magnetization   0.0 μB/f.u.
Formation enthalpy at 0 K   -0.07 eV/atom

```
data_Na2LiSn4
_cell_length_a 6.116
_cell_length_b 15.551
_cell_length_c 4.728
_cell_angle_alpha 90.00
_cell_angle_beta 90.00
_cell_angle_gamma 90.00
_symmetry_space_group_name_H-M 'C m m m'
_symmetry_Int_Tables_number 65
_symmetry_space_group_name_Hall '-C 2 2'
loop_
_atom_site_label
_atom_site_fract_x
_atom_site_fract_y
_atom_site_fract_z
Na1 0.000 0.138 0.000
Li1 0.000 0.500 0.500
Sn1 0.000 0.286 0.500
Sn2 0.000 0.401 0.000
```

=====

[3]
VASP calculation (GGA-PBE) on a relaxed Ti2Al2Os crystal.

Results
Electronic total energy   -7.2427 eV per atom
Density of states at the Fermi level   0.00 states/eV/atom
Magnetization   0.0 μB/f.u.
Formation enthalpy at 0 K   -0.34 eV/atom

```
data_Ti2Al2Os
_cell_length_a 6.658
_cell_length_b 6.658
_cell_length_c 3.478
_cell_angle_alpha 90.00
_cell_angle_beta 90.00
_cell_angle_gamma 90.00
_symmetry_space_group_name_H-M 'P 4/m b m'
_symmetry_Int_Tables_number 127
_symmetry_space_group_name_Hall '-P 4 2ab'
loop_
_atom_site_label
_atom_site_fract_x
_atom_site_fract_y
_atom_site_fract_z
Ti1 0.167 0.333 0.000
Al1 0.135 0.635 0.500
Os1 0.000 0.000 0.500
```

=====

Repeat the second record exactly.
VASP calculation (GGA-PBE) on a relaxed Na2LiSn4 crystal.

Results
Electronic total energy   -3.0087 eV per atom
Density of states at the Fermi level   0.36 states/eV/atom
Magnetization   0.0 μB/f.u.
Formation enthalpy at 0 K   -0.07 eV/atom

```
data_Na2LiSn4
_cell_length_a 6.116
_cell_length_b 15.551
_cell_length_c 4.728
_cell_angle_alpha 90.00
_cell_angle_beta 90.00
_cell_angle_gamma 90.00
_symmetry_space_group_name_H-M 'C m m m'
_symmetry_Int_Tables_number 65
_symmetry_space_group_name_Hall '-C 2 2'
loop_
_atom_site_label
_atom_site_fract_x
_atom_site_fract_y
_atom_site_fract_z
Na1 0.000 0.138 0.000
Li1 0.000 0.500 0.500
Sn1 0.000 0.286 0.500
Sn2 0.000 0.401 0.000
```